(1)
{"formula": "HgSbOsPt2", "functional": "GGA-PBE", "state": "optimized geometry", "lattice_angstrom": [[4.928, 0.000, 0.000], [0.000, 5.295, 0.000], [0.000, 0.000, 4.928]], "species": ["Hg", "Pt", "Pt", "Os", "Sb"], "frac_coords": [[0.000, 0.500, 0.000], [0.500, 0.000, 0.000], [0.000, 0.000, 0.500], [0.500, 0.500, 0.500], [0.000, 0.000, 0.000]], "vol_a3_per_atom": 25.72, "e_tot_ev_per_atom": -3.823, "formation_energy_uncorrected_ev_per_atom": 1.72}

=====

(2)
{"formula": "PuHgOs", "functional": "GGA-PBE", "state": "optimized geometry", "lattice_angstrom": [[-1.418, -0.157, -2.650], [-0.458, -7.206, 2.382], [-5.768, -4.269, 3.339]], "species": ["Hg", "Hg", "Os", "Os", "Pu", "Pu"], "frac_coords": [[0.552, 0.104, 0.635], [0.448, 0.896, 0.365], [0.827, 0.654, 0.805], [0.173, 0.346, 0.195], [0.154, 0.308, 0.850], [0.846, 0.692, 0.150]], "vol_a3_per_atom": 21.09, "e_tot_ev_per_atom": -8.365, "ef_ev_per_atom": 0.2558}

=====

(3)
{"formula": "Pu4Hg3Os", "functional": "GGA-PBE", "state": "optimized geometry", "lattice_angstrom": [[-2.332, 0.207, -2.241], [-2.247, -0.380, 2.304], [-0.644, 17.912, 2.325]], "species": ["Hg", "Hg", "Hg", "Os", "Pu", "Pu", "Pu", "Pu"], "frac_coords": [[0.500, 0.500, 0.763], [0.500, 0.500, 0.500], [0.500, 0.500, 0.237], [0.500, 0.500, 0.000], [0.000, 0.000, 0.631], [0.000, 0.000, 0.901], [0.000, 0.000, 0.099], [0.000, 0.000, 0.369]], "vol_a3_per_atom": 23.73, "e_tot_ev_per_atom": -8.806, "ef_ev_per_atom": -0.1228}

=====

(4)
{"formula": "PuScHgOs", "functional": "GGA-PBE", "state": "optimized geometry", "lattice_angstrom": [[-2.373, 0.093, 4.287], [1.389, -2.979, 3.634], [2.194, 1.842, 3.975]], "species": ["Hg", "Os", "Pu", "Sc"], "frac_coords": [[0.000, 0.000, 0.000], [0.500, 0.500, 0.500], [0.250, 0.250, 0.250], [0.750, 0.750, 0.750]], "vol_a3_per_atom": 20.80, "e_tot_ev_per_atom": -8.093, "ef_ev_per_atom": -0.0442}

=====

(5)
{"formula": "PuScHgOs", "functional": "GGA-PBE", "state": "optimized geometry", "lattice_angstrom": [[3.227, 0.000, 0.000], [0.000, 3.227, 0.000], [0.000, 0.000, 8.008]], "species": ["Os", "Hg", "Sc", "Pu"], "frac_coords": [[0.000, 0.000, 0.553], [0.000, 0.000, 0.091], [0.500, 0.500, 0.359], [0.500, 0.500, 0.781]], "vol_a3_per_atom": 20.84, "e_tot_ev_per_atom": -8.334, "ef_ev_per_atom": -0.2852}

=====

(6)
{"formula": "SmPuHgOs", "functional": "GGA-PBE", "state": "optimized geometry", "lattice_angstrom": [[-1.666, -4.790, 0.193], [3.299, -3.813, 0.579], [0.166, -2.570, 4.373]], "species": ["Hg", "Os", "Sm", "Pu"], "frac_coords": [[0.750, 0.750, 0.750], [0.250, 0.250, 0.250], [0.500, 0.500, 0.500], [0.000, 0.000, 0.000]], "vol_a3_per_atom": 23.11, "e_tot_ev_per_atom": -7.652, "ef_ev_per_atom": -0.0059}

=====

(7)
{"formula": "TbPuHgOs", "functional": "GGA-PBE", "state": "optimized geometry", "lattice_angstrom": [[-2.654, 0.983, 1.761], [0.592, -2.403, 2.233], [4.774, 5.177, 4.305]], "species": ["Os", "Tb", "Hg", "Pu"], "frac_coords": [[0.000, 0.000, 0.570], [0.500, 0.500, 0.784], [0.000, 0.000, 0.069], [0.500, 0.500, 0.362]], "vol_a3_per_atom": 22.92, "e_tot_ev_per_atom": -7.834, "ef_ev_per_atom": -0.2109}

=====

(8)
{"formula": "TbPuHgOs", "functional": "GGA-PBE", "state": "optimized geometry", "lattice_angstrom": [[-0.183, 4.241, 2.708], [-4.405, 2.321, 0.748], [-2.113, -0.021, 4.570]], "species": ["Hg", "Tb", "Pu", "Os"], "frac_coords": [[0.750, 0.750, 0.750], [0.500, 0.500, 0.500], [0.000, 0.000, 0.000], [0.250, 0.250, 0.250]], "vol_a3_per_atom": 22.56, "e_tot_ev_per_atom": -7.667, "ef_ev_per_atom": -0.0439}

=====

Magnetization? In order: 3.366, 4.957, 21.972, 5.273, 4.939, 5.305, 5.081, 5.289 μB per formula unit.